A relaxed structure of ZrIrBr2. Source: Alexandria via LeMat-Bulk, functional GGA-PBE.

Results
Formation energy without anion corrections = -0.412 eV/atom

a b c (Å): 3.2177 3.3579 9.0936
angles (deg): 90.00 90.00 90.00
Closest atoms and distances in Å follow each position.
Space group Pmm2 (No. 25)
Inequivalent atoms, fractional coordinates:
Zr 0.0000 0.0000 0.0000 [1 per cell]  4 Ir 2.75, 4 Br 3.05
Ir 0.5000 0.5000 0.8394 [1 per cell]  4 Zr 2.75, 4 Br 3.03
Br 0.0000 0.0000 0.6258 [1 per cell]  4 Ir 3.03, 4 Br 3.22-3.36
Br 0.5000 0.5000 0.2171 [1 per cell]  4 Zr 3.05, 4 Br 3.22-3.36